[1]
First-principles (GGA-PBE) data for crystalline CaBePd2Rh at its relaxed geometry, as listed in Alexandria via LeMat-Bulk.

Results
Size of the total moment = 0.0 μB per cell
VASP energy = -25.8 eV per cell

Unit cell a=4.3635 b=4.3635 c=4.2862 alpha=90.00 beta=90.00 gamma=90.00
Sites, in units of the cell vectors:
Ca: 0.0000 0.0000 0.0000
Be: 0.5000 0.5000 0.5000
Pd: 0.0000 0.5000 0.5000
Pd: 0.5000 0.0000 0.5000
Rh: 0.5000 0.5000 0.0000

[2]
First-principles (GGA-PBE) data for crystalline CaBePdRh2 at its relaxed geometry, as listed in Alexandria via LeMat-Bulk.

Results
Size of the total moment = 0.0 μB per cell
VASP energy = -27.1 eV per cell

Unit cell a=4.2925 b=4.2925 c=4.3454 alpha=90.00 beta=90.00 gamma=90.00
Sites, in units of the cell vectors:
Ca: 0.0000 0.0000 0.0000
Be: 0.5000 0.5000 0.5000
Pd: 0.5000 0.5000 0.0000
Rh: 0.0000 0.5000 0.5000
Rh: 0.5000 0.0000 0.5000

[3]
First-principles (GGA-PBE) data for crystalline Ca2BeSbPd6 at its relaxed geometry, as listed in Alexandria via LeMat-Bulk.

Results
Size of the total moment = 0.0 μB per cell
E_form (uncorrected) = -5.547 eV per formula unit

Unit cell a=5.9606 b=5.9649 c=7.0699 alpha=67.79 beta=67.31 gamma=60.91
Sites, in units of the cell vectors:
Ca: 0.2436 0.2502 0.2978
Ca: 0.7564 0.7498 0.7022
Be: 0.0000 0.0000 0.0000
Sb: 0.5000 0.5000 0.5000
Pd: 0.2147 0.6778 0.8445
Pd: 0.2323 0.2225 0.7873
Pd: 0.3135 0.7883 0.1619
Pd: 0.6865 0.2117 0.8381
Pd: 0.7677 0.7775 0.2127
Pd: 0.7853 0.3222 0.1555

[4]
First-principles (GGA-PBE) data for crystalline Ca2BePdSe at its relaxed geometry, as listed in Alexandria via LeMat-Bulk.

Results
Size of the total moment = 0.0 μB per cell
Energy above the lowest structure with this stoichiometry = 431 meV/atom
E_form (uncorrected) = -0.549 eV per formula unit

Unit cell a=5.4509 b=5.4509 c=4.1025 alpha=90.00 beta=90.00 gamma=90.00
Sites, in units of the cell vectors:
Ca: 0.0000 0.5000 0.0000
Ca: 0.5000 0.0000 0.0000
Be: 0.0000 0.0000 0.0000
Pd: 0.5000 0.5000 0.5000
Se: 0.0000 0.0000 0.5000

[5]
First-principles (GGA-PBE) data for crystalline CaBe2PdSe at its relaxed geometry, as listed in Alexandria via LeMat-Bulk.

Results
Size of the total moment = 0.0 μB per cell
E_form (uncorrected) = 7.091 eV per formula unit

Unit cell a=5.1626 b=5.1626 c=5.1810 alpha=90.00 beta=90.00 gamma=90.00
Sites, in units of the cell vectors:
Ca: 0.0000 0.0000 0.0000
Be: 0.0000 0.5000 0.0000
Be: 0.5000 0.0000 0.0000
Pd: 0.5000 0.5000 0.5000
Se: 0.0000 0.0000 0.5000

[6]
First-principles (GGA-PBE) data for crystalline Ca2BePdSe at its relaxed geometry, as listed in Alexandria via LeMat-Bulk.

Results
Size of the total moment = 0.0 μB per cell
Energy above the lowest structure with this stoichiometry = 0 meV/atom
E_form (uncorrected) = -2.704 eV per formula unit

Unit cell a=5.4716 b=5.4716 c=4.2329 alpha=90.00 beta=90.00 gamma=90.00
Sites, in units of the cell vectors:
Ca: 0.0000 0.5000 0.0000
Ca: 0.5000 0.0000 0.0000
Be: 0.0000 0.0000 0.5000
Pd: 0.0000 0.0000 0.0000
Se: 0.5000 0.5000 0.5000

[7]
First-principles (GGA-PBE) data for crystalline Ca2BeSi4Pd3 at its relaxed geometry, as listed in Alexandria via LeMat-Bulk.

Results
Size of the total moment = 0.0 μB per cell
E_form (uncorrected) = -6.006 eV per formula unit

Unit cell a=4.0878 b=4.0878 c=10.2942 alpha=90.00 beta=90.00 gamma=90.00
Sites, in units of the cell vectors:
Ca: 0.0000 0.5000 0.2439
Ca: 0.5000 0.0000 0.7561
Be: 0.5000 0.5000 0.0000
Si: 0.0000 0.0000 0.5000
Si: 0.0000 0.5000 0.8710
Si: 0.5000 0.0000 0.1290
Si: 0.5000 0.5000 0.5000
Pd: 0.0000 0.0000 0.0000
Pd: 0.0000 0.5000 0.6312
Pd: 0.5000 0.0000 0.3688

[8]
First-principles (GGA-PBE) data for crystalline Ca2BeSiPd6 at its relaxed geometry, as listed in Alexandria via LeMat-Bulk.

Results
Size of the total moment = 0.0 μB per cell
E_form (uncorrected) = -6.194 eV per formula unit

Unit cell a=5.9662 b=6.0062 c=6.7555 alpha=64.21 beta=63.82 gamma=60.29
Sites, in units of the cell vectors:
Ca: 0.2267 0.2274 0.3174
Ca: 0.7733 0.7726 0.6826
Be: 0.0000 0.0000 0.0000
Si: 0.5000 0.5000 0.5000
Pd: 0.2433 0.2425 0.8036
Pd: 0.2450 0.7066 0.8070
Pd: 0.2849 0.7571 0.2000
Pd: 0.7151 0.2429 0.8000
Pd: 0.7550 0.2934 0.1930
Pd: 0.7567 0.7575 0.1964